Record 1
Density functional theory data (SCAN) for BeAsSe2Br at its PBEsol-relaxed geometry.

abc: 4.362 4.362 5.146
angles: 90.00 90.00 90.00
Atoms (fractional coordinates):
Be (0.000, 0.000, 0.000)
As (0.000, 0.000, 0.500)
Se (0.000, 0.500, 0.000)
Se (0.500, 0.000, 0.000)
Br (0.500, 0.500, 0.500)

Record 2
Density functional theory data (SCAN) for BeTeAsBr2 at its PBEsol-relaxed geometry.

abc: 5.409 5.469 5.469
angles: 90.00 90.00 90.00
Atoms (fractional coordinates):
Be (0.500, 0.500, 0.500)
As (0.500, 0.000, 0.000)
Te (0.000, 0.000, 0.000)
Br (0.000, 0.000, 0.500)
Br (0.000, 0.500, 0.000)

Number 1: uncorrected formation energy 0.431 eV per atom, DOS(E_F) 3.059 states/eV/f.u.. Number 2: uncorrected formation energy 0.877 eV per atom, DOS(E_F) 2.462 states/eV/f.u..